1.
GGA-PBE InGa2Tc, optimized geometry; formation enthalpy at 0 K = 0.10 eV per atom; space-group type = No. 166
1.0
1.551 0.895 8.848
-1.551 0.895 8.848
0.000 -1.791 8.848
In Ga Tc
1 2 1
Cartesian
0.000 0.000 0.000
0.000 0.000 6.300
0.000 0.000 20.245
0.000 0.000 13.272

2.
GGA-PBE InGa4Tc, optimized geometry; offset from the most stable computed form = 0.015 eV/atom; formation enthalpy at 0 K = -0.01 eV per atom; space-group type = No. 140
1.0
-3.300 3.300 5.344
3.300 -3.300 5.344
3.300 3.300 -5.344
In Ga Tc
2 8 2
Cartesian
0.000 0.000 0.000
0.000 0.000 5.344
2.327 -0.973 1.714
4.273 -0.973 3.630
4.273 0.973 1.714
2.327 0.973 3.630
0.973 2.327 1.714
-0.973 2.327 3.630
-0.973 4.273 1.714
0.973 4.273 3.630
0.000 0.000 2.672
0.000 0.000 8.016

3.
GGA-PBE InGa2Tc, optimized geometry; formation enthalpy at 0 K = 0.10 eV per atom; space-group type = No. 160
1.0
1.538 0.888 9.038
-1.538 0.888 9.038
0.000 -1.776 9.038
In Ga Tc
1 2 1
Cartesian
0.000 0.000 0.000
0.000 0.000 15.434
0.000 0.000 20.673
0.000 0.000 4.488

| no. | density (g/cm³) |
| --- | --- |
| 1 | 7.94 |
| 2 | 7.02 |
| 3 | 7.89 |